First-principles (GGA-PBEsol) data for a relaxed structure of Li2Mg, as listed in Alexandria.

Results
- Energy relative to the elements: -0.04 eV/atom

abc: 5.266 5.266 5.877
angles: 63.38 63.38 60.00
Sites, in units of the cell vectors:
Mg1 0.833 0.833 0.500
Mg2 0.167 0.167 0.500
Li1 0.667 0.000 0.000
Li2 0.000 0.333 0.000
Li3 0.333 0.667 0.000
Li4 0.500 0.500 0.500



First-principles (GGA-PBEsol) data for a relaxed structure of SrCdAu2, as listed in Alexandria.

Results
- Energy relative to the elements: -0.37 eV/atom

abc: 4.484 4.484 5.393
angles: 114.56 114.56 90.00
Sites, in units of the cell vectors:
Au1 0.000 0.000 0.000
Au2 0.750 0.250 0.500
Cd1 0.500 0.500 0.000
Sr1 0.250 0.750 0.500



First-principles (GGA-PBEsol) data for a relaxed structure of Cr3Os, as listed in Alexandria.

Results
- Energy relative to the elements: 0.06 eV/atom

abc: 2.848 2.848 5.868
angles: 90.00 90.00 90.00
Each line ends with the local moment (μB).
Sites, in units of the cell vectors:
Cr1 0.000 0.000 0.773  0.41
Cr2 0.000 0.000 0.227  0.41
Cr3 0.500 0.500 0.000  -0.24
Os1 0.500 0.500 0.500  -0.03



First-principles (GGA-PBEsol) data for a relaxed structure of AgAu, as listed in Alexandria.

Results
- Energy relative to the elements: -0.06 eV/atom

abc: 4.065 4.065 4.962
angles: 114.18 114.18 90.00
Sites, in units of the cell vectors:
Au1 0.250 0.750 0.500
Au2 0.000 0.000 0.000
Ag1 0.750 0.250 0.500
Ag2 0.500 0.500 0.000